1.
Material: MgZr2Sc
Method: DFT, SCAN
State: PBEsol geometry

Cell lengths 3.1068, 3.1068, 9.1567 Å; angles 90.00, 90.00, 90.00 degrees
Fractional positions:
Mg (0.0000, 0.0000, 0.0000)
Zr (0.5000, 0.5000, 0.2528)
Zr (0.5000, 0.5000, 0.7472)
Sc (0.0000, 0.0000, 0.5000)

calculated formation energy = 0.044 eV/atom
spin magnetization = 0.0 μB per cell
symmetry = P4/mmm (123)
DOS(E_F) = 4.65 states/eV/f.u.
calculated volume = 88.38 Å³/cell
final energy = -20.108 eV per atom

2.
Material: Mg2ZrSc
Method: DFT, SCAN
State: PBEsol geometry

Cell lengths 3.1267, 4.4348, 6.3522 Å; angles 90.00, 90.00, 90.00 degrees
Fractional positions:
Mg (0.0000, 0.0000, 0.2469)
Mg (0.0000, 0.0000, 0.7531)
Zr (0.5000, 0.5000, 0.0000)
Sc (0.5000, 0.5000, 0.5000)

calculated formation energy = 0.044 eV/atom
spin magnetization = 0.0 μB per cell
symmetry = Pmmm (47)
DOS(E_F) = 3.39 states/eV/f.u.
calculated volume = 88.08 Å³/cell
final energy = -13.677 eV per atom

3.
Material: Mg2ZrSc
Method: DFT, SCAN
State: PBEsol geometry

Cell lengths 4.9666, 4.9666, 3.5266 Å; angles 90.00, 90.00, 90.00 degrees
Fractional positions:
Mg (0.0000, 0.5000, 0.0000)
Mg (0.5000, 0.0000, 0.0000)
Zr (0.0000, 0.0000, 0.5000)
Sc (0.5000, 0.5000, 0.5000)

calculated formation energy = 0.033 eV/atom
spin magnetization = 0.0 μB per cell
symmetry = P4/mmm (123)
DOS(E_F) = 4.65 states/eV/f.u.
calculated volume = 86.99 Å³/cell
final energy = -13.688 eV per atom

4.
Material: MgZr4Sc
Method: DFT, SCAN
State: PBEsol geometry

Cell lengths 5.8126, 5.8126, 5.8126 Å; angles 60.00, 60.00, 60.00 degrees
Fractional positions:
Mg (0.0000, 0.0000, 0.0000)
Zr (0.1316, 0.6228, 0.6228)
Zr (0.6228, 0.1316, 0.6228)
Zr (0.6228, 0.6228, 0.1316)
Zr (0.6228, 0.6228, 0.6228)
Sc (0.2500, 0.2500, 0.2500)

calculated formation energy = 0.255 eV/atom
spin magnetization = 0.0 μB per cell
symmetry = F-43m (216)
DOS(E_F) = 7.57 states/eV/f.u.
calculated volume = 138.87 Å³/cell
final energy = -23.413 eV per atom

> What is the calculated formation energy in the fourth record?

0.255 eV/atom